20
Lattice="-3.908 3.908 3.908 3.908 -3.908 3.908 3.908 3.908 -3.908" Properties=species:S:1:pos:R:3 comment="GGA+U Sr4V3NiO12, relaxed" vol_a3_per_atom=11.94 dft_energy_ev_per_cell=-137.675 pbc="T T T"
Sr 1.954 1.954 -1.954
Sr 1.954 -1.954 1.954
Sr -1.954 1.954 1.954
Sr 1.954 1.954 1.954
V 3.908 0.000 0.000
V 0.000 3.908 0.000
V 0.000 0.000 3.908
Ni 0.000 0.000 0.000
O 2.058 0.000 0.000
O 5.757 0.000 0.000
O 3.908 1.954 0.000
O 3.908 0.000 1.954
O 0.000 2.058 0.000
O 0.000 0.000 2.058
O 1.954 3.908 0.000
O 1.954 0.000 3.908
O 0.000 5.757 0.000
O 0.000 0.000 5.757
O 0.000 3.908 1.954
O 0.000 1.954 3.908